This record from Alexandria describes a geometry-optimized ScTaFeRh structure. The functional is PBE.

a b c (Å): 4.4543 4.4543 4.4543
angles (deg): 60.00 60.00 60.00
Atoms (fractional coordinates):
Sc 0.0000 0.0000 0.0000
Rh 0.2500 0.2500 0.2500
Fe 0.7500 0.7500 0.7500
Ta 0.5000 0.5000 0.5000

Computed properties:
DFT formation energy, meV per atom: -394
DOS at the Fermi energy, states/eV/f.u.: 3.04